[1]
CsBa2Al2: relaxed, GGA-PBE.

Values from the calculation:
- Mass density: 3.34 g cm⁻³
- DOS(E_F): 0.797 states/eV per atom
- E: -11.633 eV per cell
- Energy of formation: 110 meV/atom

Structure (extended XYZ):
```
5
Lattice="-3.2160 3.2160 5.5496 3.2160 -3.2160 5.5496 3.2160 3.2160 -5.5496" Properties=species:S:1:pos:R:3 pbc="T T T"
Cs 0.0000 0.0000 0.0000
Ba 3.2160 0.0000 2.7748
Ba 0.0000 3.2160 2.7748
Al 0.0000 0.0000 4.2853
Al 0.0000 0.0000 6.8138
```

---

[2]
CsBa2AlF8: relaxed, GGA-PBE.

Values from the calculation:
- Raw formation energy: -3.5211 eV/atom
- Mass density: 4.37 g cm⁻³
- DOS(E_F): 0.000 states/eV per atom
- E: -65.666 eV per cell

Structure (extended XYZ):
```
12
Lattice="4.8445 0.0000 0.0000 0.0000 8.4108 0.0000 -1.0135 0.0000 5.4700" Properties=species:S:1:pos:R:3 pbc="T T T"
Cs 0.0000 0.0000 0.0000
Ba 1.9155 2.2282 2.7350
Ba 1.9155 6.1826 2.7350
Al 0.0000 4.2054 0.0000
F -0.3899 2.8598 4.3282
F -0.3899 5.5509 4.3282
F 1.5075 4.2054 1.0271
F 1.2691 0.0000 3.8845
F 2.5620 0.0000 1.5855
F 2.3235 4.2054 4.4428
F 4.2209 2.8598 1.1418
F 4.2209 5.5509 1.1418
```